1.
Computed, not measured: a relaxed structure of DyYGa2 at the PBE level of DFT.

Computed properties:
ρ	6.9	g/cm3
DFT total energy	-36.77	eV for the cell shown
volume	23.618	Å³/atom

a = 5.2750 Å, b = 6.6118 Å, c = 6.6118 Å
α = 124.98°, β = 90.00°, γ = 90.00°
Last column: nearest neighbours and their distance in Å.
Positions (direct):
Dy 0.2500 0.6600 0.2992  8 Ga 3.05-3.36, 1 Y 3.15
Dy 0.7500 0.2992 0.6600  8 Ga 3.05-3.36, 1 Y 3.15
Ga 0.7500 0.8032 0.1543  4 Dy 3.05-3.13, 3 Y 3.15-3.16, 4 Ga 3.21-3.41
Ga 0.7500 0.3392 0.1903  2 Y 2.98-3.13, 3 Ga 3.16-3.21, 3 Dy 3.20-3.26
Ga 0.2500 0.1903 0.3392  2 Y 2.98-3.13, 3 Ga 3.16-3.21, 3 Dy 3.20-3.26
Ga 0.2500 0.1543 0.8032  4 Dy 3.05-3.13, 3 Y 3.15-3.16, 4 Ga 3.21-3.41
Y 0.7500 0.8495 0.7043  5 Ga 2.98-3.16, 2 Y 3.14, 1 Dy 3.15
Y 0.2500 0.7043 0.8495  5 Ga 2.98-3.16, 2 Y 3.14, 1 Dy 3.15

---

2.
Computed, not measured: a relaxed structure of GdI2Cl at the PBE level of DFT.

Computed properties:
ρ	4.2	g/cm3
DFT total energy	-32.78	eV for the cell shown
volume	44.226	Å³/atom

a = 7.4117 Å, b = 7.4117 Å, c = 7.6532 Å
α = 99.70°, β = 99.70°, γ = 117.21°
Last column: nearest neighbours and their distance in Å.
Positions (direct):
Cl 0.1856 0.1856 0.2060  2 Gd 2.69
Cl 0.8144 0.8144 0.7940  2 Gd 2.69
Gd 0.8391 0.1609 0.0000  2 Cl 2.69
Gd 0.1609 0.8391 0.0000  2 Cl 2.69
I 0.9292 0.5822 0.2460  2 Gd 3.07
I 0.5822 0.9292 0.2460  2 Gd 3.07
I 0.4178 0.0708 0.7540  2 Gd 3.07
I 0.0708 0.4178 0.7540  2 Gd 3.07

---

3.
Computed, not measured: a relaxed structure of TaTcAg2 at the PBE level of DFT.

Computed properties:
ρ	12.2	g/cm3
calculated formation energy	40.6	kJ/mol of atoms
DFT total energy	-26.18	eV for the cell shown
volume	16.797	Å³/atom

a = 4.5632 Å, b = 4.5632 Å, c = 4.5632 Å
α = 60.00°, β = 60.00°, γ = 60.00°
Last column: nearest neighbours and their distance in Å.
Positions (direct):
Ag 0.5000 0.5000 0.5000  4 Ag 2.79, 4 Ta 2.79
Ag 0.7500 0.7500 0.7500  4 Ag 2.79, 4 Tc 2.79
Ta 0.2500 0.2500 0.2500  4 Ag 2.79, 4 Tc 2.79
Tc 0.0000 0.0000 0.0000  4 Ag 2.79, 4 Ta 2.79

---

4.
Computed, not measured: a relaxed structure of GdErS2F2 at the PBE level of DFT.

Computed properties:
ρ	7.4	g/cm3
DFT total energy	-39.21	eV for the cell shown
volume	15.897	Å³/atom

a = 3.7498 Å, b = 3.7498 Å, c = 6.7834 Å
α = 90.00°, β = 90.00°, γ = 90.00°
Last column: nearest neighbours and their distance in Å.
Positions (direct):
Er 0.0000 0.0000 0.7710  4 F 2.42
F 0.5000 0.0000 0.9970  2 Er 2.42, 2 Gd 2.44, 4 F 2.65
F 0.0000 0.5000 0.9970  2 Er 2.42, 2 Gd 2.44, 4 F 2.65
Gd 0.5000 0.5000 0.2279  4 F 2.44
S 0.0000 0.0000 0.3608  1 Er 2.78, 4 Gd 2.80, 4 F 3.10
S 0.5000 0.5000 0.6462  4 Er 2.78, 1 Gd 2.84, 4 F 3.03

---

5.
Computed, not measured: a relaxed structure of TlCu8Se4 at the PBE level of DFT.

Computed properties:
ρ	7.8	g/cm3
DFT total energy	-46.93	eV for the cell shown
volume	16.879	Å³/atom

a = 3.8764 Å, b = 7.7693 Å, c = 7.7693 Å
α = 93.57°, β = 75.55°, γ = 104.45°
Last column: nearest neighbours and their distance in Å.
Positions (direct):
Cu 0.2077 0.5317 0.1162  4 Se 2.47-2.67, 5 Cu 2.55-2.69
Cu 0.6177 0.5929 0.3574  3 Se 2.52-2.64, 8 Cu 2.55-2.69
Cu 0.9751 0.3574 0.4071  3 Se 2.52-2.64, 8 Cu 2.55-2.69
Cu 0.3240 0.1162 0.4683  4 Se 2.47-2.67, 5 Cu 2.55-2.69
Cu 0.6760 0.8838 0.5317  4 Se 2.47-2.67, 5 Cu 2.55-2.69
Cu 0.0249 0.6426 0.5929  3 Se 2.52-2.64, 8 Cu 2.55-2.69
Cu 0.3823 0.4071 0.6426  3 Se 2.52-2.64, 8 Cu 2.55-2.69
Cu 0.7923 0.4683 0.8838  4 Se 2.47-2.67, 5 Cu 2.55-2.69
Se 0.5696 0.3124 0.1733  7 Cu 2.47-2.67
Se 0.2572 0.8267 0.3124  7 Cu 2.47-2.67
Se 0.7428 0.1733 0.6876  7 Cu 2.47-2.67
Se 0.4304 0.6876 0.8267  7 Cu 2.47-2.67
Tl 0.0000 0.0000 0.0000  8 Se 3.31

---

6.
Computed, not measured: a relaxed structure of LiZrAlNi at the PBE level of DFT.

Computed properties:
distance to the lowest polymorph of the same formula	272.2	meV/atom
ρ	4.9	g/cm3
DFT total energy	-20.66	eV for the cell shown
volume	15.586	Å³/atom

a = 4.4508 Å, b = 4.4508 Å, c = 4.4508 Å
α = 60.00°, β = 60.00°, γ = 60.00°
Last column: nearest neighbours and their distance in Å.
Positions (direct):
Al 0.0000 0.0000 0.0000  4 Zr 2.73, 4 Li 2.73
Li 0.7500 0.7500 0.7500  4 Ni 2.73, 4 Al 2.73
Ni 0.5000 0.5000 0.5000  4 Zr 2.73, 4 Li 2.73
Zr 0.2500 0.2500 0.2500  4 Ni 2.73, 4 Al 2.73

---

7.
Computed, not measured: a relaxed structure of LiLuCuSn at the PBE level of DFT.

Computed properties:
distance to the lowest polymorph of the same formula	0.0	meV/atom
ρ	8.5	g/cm3
DFT total energy	-15.59	eV for the cell shown
volume	17.798	Å³/atom

a = 4.6521 Å, b = 4.6521 Å, c = 4.6521 Å
α = 60.00°, β = 60.00°, γ = 60.00°
Last column: nearest neighbours and their distance in Å.
Positions (direct):
Cu 0.7500 0.7500 0.7500  4 Sn 2.85, 4 Lu 2.85
Li 0.2500 0.2500 0.2500  4 Lu 2.85, 4 Sn 2.85
Lu 0.5000 0.5000 0.5000  4 Li 2.85, 4 Cu 2.85
Sn 0.0000 0.0000 0.0000  4 Li 2.85, 4 Cu 2.85

---

8.
Computed, not measured: a relaxed structure of Pr3Mg3Ir2Pt at the PBE level of DFT.

Computed properties:
ρ	8.8	g/cm3
DFT total energy	-48.97	eV for the cell shown
volume	22.500	Å³/atom

a = 7.5100 Å, b = 7.5100 Å, c = 4.1458 Å
α = 90.00°, β = 90.00°, γ = 120.00°
Last column: nearest neighbours and their distance in Å.
Positions (direct):
Ir 0.6667 0.3333 0.5000  3 Mg 2.90, 6 Pr 3.07
Ir 0.3333 0.6667 0.5000  3 Mg 2.90, 6 Pr 3.07
Mg 0.2434 0.0000 0.5000  2 Pt 2.76, 2 Ir 2.90
Mg 0.0000 0.2434 0.5000  2 Pt 2.76, 2 Ir 2.90
Mg 0.7566 0.7566 0.5000  2 Pt 2.76, 2 Ir 2.90
Pr 0.5849 0.0000 0.0000  4 Ir 3.07, 1 Pt 3.12, 6 Mg 3.30-3.41
Pr 0.4151 0.4151 0.0000  4 Ir 3.07, 1 Pt 3.12, 6 Mg 3.30-3.41
Pr 0.0000 0.5849 0.0000  4 Ir 3.07, 1 Pt 3.12, 6 Mg 3.30-3.41
Pt 0.0000 0.0000 0.0000  6 Mg 2.76

---

9.
Computed, not measured: a relaxed structure of Y3Mg3Zn2Au at the PBE level of DFT.

Computed properties:
ρ	5.4	g/cm3
DFT total energy	-33.69	eV for the cell shown
volume	22.861	Å³/atom

a = 7.5771 Å, b = 7.5771 Å, c = 4.1381 Å
α = 90.00°, β = 90.00°, γ = 120.00°
Last column: nearest neighbours and their distance in Å.
Positions (direct):
Au 0.0000 0.0000 0.5000  6 Mg 2.79, 3 Y 3.10
Mg 0.2477 0.0000 0.0000  2 Au 2.79, 2 Zn 2.90
Mg 0.0000 0.2477 0.0000  2 Au 2.79, 2 Zn 2.90
Mg 0.7523 0.7523 0.0000  2 Au 2.79, 2 Zn 2.90
Y 0.5904 0.0000 0.5000  4 Zn 3.09, 1 Au 3.10, 6 Mg 3.32-3.41
Y 0.4096 0.4096 0.5000  4 Zn 3.09, 1 Au 3.10, 6 Mg 3.32-3.41
Y 0.0000 0.5904 0.5000  4 Zn 3.09, 1 Au 3.10, 6 Mg 3.32-3.41
Zn 0.6667 0.3333 0.0000  3 Mg 2.90, 6 Y 3.09
Zn 0.3333 0.6667 0.0000  3 Mg 2.90, 6 Y 3.09

---

10.
Computed, not measured: a relaxed structure of KGeMo at the PBE level of DFT.

Computed properties:
distance to the lowest polymorph of the same formula	724.5	meV/atom
ρ	3.9	g/cm3
DFT total energy	-10.79	eV for the cell shown
volume	29.773	Å³/atom

a = 5.0175 Å, b = 5.0175 Å, c = 5.0175 Å
α = 60.00°, β = 60.00°, γ = 60.00°
Last column: nearest neighbours and their distance in Å.
Positions (direct):
Ge 0.2500 0.2500 0.2500  4 K 3.07
K 0.0000 0.0000 0.0000  4 Ge 3.07, 4 Mo 3.07
Mo 0.7500 0.7500 0.7500  4 K 3.07

---

11.
Computed, not measured: a relaxed structure of RbAg4F2 at the PBE level of DFT.

Computed properties:
ρ	7.0	g/cm3
DFT total energy	-19.22	eV for the cell shown
volume	18.813	Å³/atom

a = 4.0980 Å, b = 4.0980 Å, c = 7.8418 Å
α = 90.00°, β = 90.00°, γ = 90.00°
Last column: nearest neighbours and their distance in Å.
Positions (direct):
Ag 0.5000 0.0000 0.3204  2 F 2.49
Ag 0.0000 0.5000 0.3204  2 F 2.49
Ag 0.5000 0.0000 0.6796  2 F 2.49
Ag 0.0000 0.5000 0.6796  2 F 2.49
F 0.0000 0.0000 0.0000  4 Rb 2.90, 8 Ag 3.24
F 0.5000 0.5000 0.5000  8 Ag 2.49
Rb 0.5000 0.5000 0.0000  4 F 2.90, 8 Ag 3.24

---

12.
Computed, not measured: a relaxed structure of NdDySbI2 at the PBE level of DFT.

Computed properties:
ρ	6.0	g/cm3
DFT total energy	-23.06	eV for the cell shown
volume	37.975	Å³/atom

a = 4.3931 Å, b = 4.3931 Å, c = 11.3602 Å
α = 90.00°, β = 90.00°, γ = 120.00°
Last column: nearest neighbours and their distance in Å.
Positions (direct):
Dy 0.0000 0.0000 0.8479  3 Sb 3.02, 3 I 3.18
I 0.0000 0.0000 0.3298  3 Nd 3.25
I 0.3333 0.6667 0.6790  3 Dy 3.18
Nd 0.3333 0.6667 0.1512  3 Sb 3.11, 3 I 3.25
Sb 0.6667 0.3333 0.9921  3 Dy 3.02, 3 Nd 3.11

---

13.
Computed, not measured: a relaxed structure of ErAgPbSe3 at the PBE level of DFT.

Computed properties:
distance to the lowest polymorph of the same formula	3.1	meV/atom
ρ	7.7	g/cm3
DFT total energy	-54.72	eV for the cell shown
volume	25.835	Å³/atom

a = 7.8089 Å, b = 4.1115 Å, c = 10.0481 Å
α = 90.00°, β = 106.05°, γ = 90.00°
Last column: nearest neighbours and their distance in Å.
Positions (direct):
Ag 0.5880 0.2500 0.0947  4 Se 2.62-2.92, 2 Ag 2.88
Ag 0.4120 0.7500 0.9053  4 Se 2.62-2.92, 2 Ag 2.88
Er 0.8042 0.7500 0.3412  6 Se 2.85-2.94
Er 0.1958 0.2500 0.6588  6 Se 2.85-2.94
Pb 0.2371 0.7500 0.2014  7 Se 3.14-3.39
Pb 0.7629 0.2500 0.7986  7 Se 3.14-3.39
Se 0.7927 0.7500 0.0467  3 Ag 2.73-2.92, 1 Er 2.94
Se 0.5545 0.2500 0.3472  1 Ag 2.62, 2 Er 2.85
Se 0.0685 0.2500 0.3643  3 Er 2.85-2.88, 2 Pb 3.14
Se 0.9315 0.7500 0.6357  3 Er 2.85-2.88, 2 Pb 3.14
Se 0.4455 0.7500 0.6528  1 Ag 2.62, 2 Er 2.85
Se 0.2073 0.2500 0.9533  3 Ag 2.73-2.92, 1 Er 2.94

---

14.
Computed, not measured: a relaxed structure of LiLuInAg at the PBE level of DFT.

Computed properties:
distance to the lowest polymorph of the same formula	0.0	meV/atom
ρ	8.5	g/cm3
DFT total energy	-13.42	eV for the cell shown
volume	19.713	Å³/atom

a = 4.8133 Å, b = 4.8133 Å, c = 4.8133 Å
α = 60.00°, β = 60.00°, γ = 60.00°
Last column: nearest neighbours and their distance in Å.
Positions (direct):
Ag 0.2500 0.2500 0.2500  4 In 2.95, 4 Lu 2.95
In 0.5000 0.5000 0.5000  4 Ag 2.95, 4 Li 2.95
Li 0.7500 0.7500 0.7500  4 Lu 2.95, 4 In 2.95
Lu 0.0000 0.0000 0.0000  4 Li 2.95, 4 Ag 2.95

---

15.
Computed, not measured: a relaxed structure of InCuTePbSe2 at the PBE level of DFT.

Computed properties:
ρ	6.9	g/cm3
DFT total energy	-43.50	eV for the cell shown
volume	26.814	Å³/atom

a = 7.1220 Å, b = 7.1220 Å, c = 12.0085 Å
α = 90.00°, β = 90.00°, γ = 148.11°
Last column: nearest neighbours and their distance in Å.
Positions (direct):
Cu 0.9694 0.0306 0.2500  2 Se 2.50, 2 Te 2.66
Cu 0.0306 0.9694 0.7500  2 Se 2.50, 2 Te 2.66
In 0.2851 0.7149 0.2500  4 Se 2.87, 2 Te 3.19, 2 Cu 3.19
In 0.7149 0.2851 0.7500  4 Se 2.87, 2 Te 3.19, 2 Cu 3.19
Pb 0.5000 0.5000 0.0000  4 Se 3.03, 2 Te 3.31
Pb 0.5000 0.5000 0.5000  4 Se 3.03, 2 Te 3.31
Se 0.8510 0.1490 0.0918  1 Cu 2.50
Se 0.8510 0.1490 0.4082  1 Cu 2.50
Se 0.1490 0.8510 0.5918  1 Cu 2.50
Se 0.1490 0.8510 0.9082  1 Cu 2.50
Te 0.6015 0.3985 0.2500  2 Cu 2.66
Te 0.3985 0.6015 0.7500  2 Cu 2.66

---

16.
Computed, not measured: a relaxed structure of BeReHg at the PBE level of DFT.

Computed properties:
distance to the lowest polymorph of the same formula	493.0	meV/atom
ρ	11.6	g/cm3
DFT total energy	-12.18	eV for the cell shown
volume	18.932	Å³/atom

a = 4.3146 Å, b = 4.3146 Å, c = 4.3146 Å
α = 60.00°, β = 60.00°, γ = 60.00°
Last column: nearest neighbours and their distance in Å.
Positions (direct):
Be 0.2500 0.2500 0.2500  4 Re 2.64
Hg 0.7500 0.7500 0.7500  4 Re 2.64
Re 0.0000 0.0000 0.0000  4 Hg 2.64, 4 Be 2.64

---

17.
Computed, not measured: a relaxed structure of Ni5GeSe2 at the PBE level of DFT.

Computed properties:
ρ	7.1	g/cm3
DFT total energy	-42.13	eV for the cell shown
volume	15.300	Å³/atom

a = 9.5931 Å, b = 9.5931 Å, c = 9.5931 Å
α = 158.13°, β = 158.13°, γ = 31.12°
Last column: nearest neighbours and their distance in Å.
Positions (direct):
Ge 0.5000 0.5000 0.0000  12 Ni 2.52-2.57
Ni 0.0000 0.0000 0.0000  8 Ni 2.52, 4 Ge 2.57
Ni 0.5946 0.0946 0.5000  2 Se 2.34, 6 Ni 2.52-2.57, 2 Ge 2.52
Ni 0.9054 0.4054 0.5000  2 Se 2.34, 2 Ge 2.52, 6 Ni 2.52-2.57
Ni 0.0946 0.5946 0.5000  2 Se 2.34, 6 Ni 2.52-2.57, 2 Ge 2.52
Ni 0.4054 0.9054 0.5000  2 Se 2.34, 2 Ge 2.52, 6 Ni 2.52-2.57
Se 0.1741 0.1741 0.0000  4 Ni 2.34
Se 0.8259 0.8259 0.0000  4 Ni 2.34

---

18.
Computed, not measured: a relaxed structure of AgSnSb at the PBE level of DFT.

Computed properties:
distance to the lowest polymorph of the same formula	0.0	meV/atom
ρ	7.2	g/cm3
DFT total energy	-10.82	eV for the cell shown
volume	26.702	Å³/atom

a = 4.8387 Å, b = 4.8387 Å, c = 4.8387 Å
α = 60.00°, β = 60.00°, γ = 60.00°
Last column: nearest neighbours and their distance in Å.
Positions (direct):
Ag 0.0000 0.0000 0.0000  4 Sn 2.96, 4 Sb 2.96
Sb 0.2500 0.2500 0.2500  4 Ag 2.96
Sn 0.7500 0.7500 0.7500  4 Ag 2.96

---

19.
Computed, not measured: a relaxed structure of SrDySn2Pd4 at the PBE level of DFT.

Computed properties:
ρ	8.7	g/cm3
DFT total energy	-41.32	eV for the cell shown
volume	21.850	Å³/atom

a = 4.6046 Å, b = 4.6046 Å, c = 9.5195 Å
α = 90.00°, β = 90.00°, γ = 120.00°
Last column: nearest neighbours and their distance in Å.
Positions (direct):
Dy 0.3333 0.6667 0.0000  8 Pd 2.89-3.05
Pd 0.0000 0.0000 0.1564  3 Sn 2.76, 4 Pd 2.98-3.01, 3 Dy 3.05
Pd 0.3333 0.6667 0.3036  3 Sn 2.74, 1 Dy 2.89, 3 Pd 3.01
Pd 0.3333 0.6667 0.6964  3 Sn 2.74, 1 Dy 2.89, 3 Pd 3.01
Pd 0.0000 0.0000 0.8436  3 Sn 2.76, 4 Pd 2.98-3.01, 3 Dy 3.05
Sn 0.6667 0.3333 0.2345  6 Pd 2.74-2.76
Sn 0.6667 0.3333 0.7655  6 Pd 2.74-2.76
Sr 0.0000 0.0000 0.5000  8 Pd 3.25-3.27

---

20.
Computed, not measured: a relaxed structure of Ta4GePC2 at the PBE level of DFT.

Computed properties:
ρ	12.6	g/cm3
DFT total energy	-80.86	eV for the cell shown
volume	13.990	Å³/atom

a = 3.2840 Å, b = 3.2840 Å, c = 11.9832 Å
α = 90.00°, β = 90.00°, γ = 120.00°
Last column: nearest neighbours and their distance in Å.
Positions (direct):
C 0.0000 0.0000 0.2436  6 Ta 2.20-2.23
C 0.0000 0.0000 0.7564  6 Ta 2.20-2.23
Ge 0.3333 0.6667 0.5000  6 Ta 2.72
P 0.6667 0.3333 0.0000  6 Ta 2.57
Ta 0.3333 0.6667 0.1448  3 C 2.23
Ta 0.6667 0.3333 0.3373  3 C 2.20
Ta 0.6667 0.3333 0.6627  3 C 2.20
Ta 0.3333 0.6667 0.8552  3 C 2.23